# SrHg5Sb2 PBE optimized geometry
data_SrHg5Sb2
_chemical_formula_sum 'Sr2 Hg10 Sb4'
_symmetry_space_group_name_H-M 'C 1 2/m 1'
_symmetry_Int_Tables_number 12
_symmetry_space_group_name_Hall '-C 2y'
_cell_length_a 6.703
_cell_length_b 10.665
_cell_length_c 6.479
_cell_angle_alpha 90.00
_cell_angle_beta 90.92
_cell_angle_gamma 90.00
loop_
_atom_site_label
_atom_site_type_symbol
_atom_site_fract_x
_atom_site_fract_y
_atom_site_fract_z
Sr1 Sr 0.000 0.000 0.000
Hg1 Hg 0.000 0.500 0.000
Hg2 Hg 0.240 0.252 0.757
Sb1 Sb 0.214 0.000 0.504
# Density = 9.567 Mg/m³
# Volume = 463.1 Å³/cell
# Energy relative to the elements, uncorrected = -21 kJ/mol of atoms
# Total DFT energy (no corrections) = -0.0605 Ha/atom